VASP calculation (PBE) on crystalline Ba3Sr12Pr5 at its relaxed geometry.

Cell lengths 18.8059, 18.8059, 18.8059 Å; angles 109.47, 109.47, 109.47 degrees
Atoms (fractional coordinates):
Ba 0.1250 0.2500 0.3750
Ba 0.1250 0.3750 0.7500
Ba 0.2500 0.3750 0.1250
Ba 0.2500 0.8750 0.6250
Ba 0.3750 0.1250 0.2500
Ba 0.3750 0.7500 0.1250
Ba 0.6250 0.2500 0.8750
Ba 0.6250 0.8750 0.7500
Ba 0.7500 0.1250 0.3750
Ba 0.7500 0.6250 0.8750
Ba 0.8750 0.6250 0.2500
Ba 0.8750 0.7500 0.6250
Sr 0.0467 0.2127 0.1147
Sr 0.0467 0.3340 0.9320
Sr 0.0680 0.6147 0.4020
Sr 0.0680 0.9533 0.6660
Sr 0.0980 0.7127 0.6660
Sr 0.0980 0.8853 0.4320
Sr 0.1147 0.0467 0.2127
Sr 0.1147 0.5680 0.9020
Sr 0.1660 0.2127 0.5980
Sr 0.1660 0.4533 0.5680
Sr 0.2127 0.1147 0.0467
Sr 0.2127 0.5980 0.1660
Sr 0.2873 0.3340 0.9020
Sr 0.2873 0.4533 0.3853
Sr 0.3340 0.9020 0.2873
Sr 0.3340 0.9320 0.0467
Sr 0.3853 0.2873 0.4533
Sr 0.3853 0.5980 0.9320
Sr 0.4020 0.0680 0.6147
Sr 0.4020 0.8340 0.7873
Sr 0.4320 0.0980 0.8853
Sr 0.4320 0.8340 0.5467
Sr 0.4533 0.3853 0.2873
Sr 0.4533 0.5680 0.1660
Sr 0.5467 0.4320 0.8340
Sr 0.5467 0.6147 0.7127
Sr 0.5680 0.1660 0.4533
Sr 0.5680 0.9020 0.1147
Sr 0.5980 0.1660 0.2127
Sr 0.5980 0.9320 0.3853
Sr 0.6147 0.4020 0.0680
Sr 0.6147 0.7127 0.5467
Sr 0.6660 0.0680 0.9533
Sr 0.6660 0.0980 0.7127
Sr 0.7127 0.5467 0.6147
Sr 0.7127 0.6660 0.0980
Sr 0.7873 0.4020 0.8340
Sr 0.7873 0.8853 0.9533
Sr 0.8340 0.5467 0.4320
Sr 0.8340 0.7873 0.4020
Sr 0.8853 0.4320 0.0980
Sr 0.8853 0.9533 0.7873
Sr 0.9020 0.1147 0.5680
Sr 0.9020 0.2873 0.3340
Sr 0.9320 0.0467 0.3340
Sr 0.9320 0.3853 0.5980
Sr 0.9533 0.6660 0.0680
Sr 0.9533 0.7873 0.8853
Pr 0.0000 0.0000 0.0000
Pr 0.0000 0.0000 0.5000
Pr 0.0000 0.5000 0.0000
Pr 0.0000 0.5000 0.5000
Pr 0.1250 0.7500 0.8750
Pr 0.1250 0.8750 0.2500
Pr 0.2500 0.1250 0.8750
Pr 0.2500 0.6250 0.3750
Pr 0.3750 0.2500 0.6250
Pr 0.3750 0.6250 0.7500
Pr 0.5000 0.0000 0.0000
Pr 0.5000 0.0000 0.5000
Pr 0.5000 0.5000 0.0000
Pr 0.5000 0.5000 0.5000
Pr 0.6250 0.3750 0.2500
Pr 0.6250 0.7500 0.3750
Pr 0.7500 0.3750 0.6250
Pr 0.7500 0.8750 0.1250
Pr 0.8750 0.1250 0.7500
Pr 0.8750 0.2500 0.1250

total moment = 2.7 μB/f.u.
DFT formation energy = 0.892 eV/atom
calculated total energy = -128.0 eV/cell
theoretical density = 2.813 g cm⁻³